1.
Density functional theory data (PBE) for K2FeBr4 after structural relaxation.

## Properties
* D(E_F): 0.796 states/eV per atom
* density: 3314 kg/m³
* uncorrected formation energy: -1125 meV/atom

a = 5.2584 Å, b = 5.2584 Å, c = 16.4410 Å
α = 90.00°, β = 90.00°, γ = 90.00°
Closest atoms and distances in Å follow each position.
Space group I4/mmm (No. 139)
Inequivalent atoms, fractional coordinates:
1 K 0.0000 0.0000 0.1387  5 Br 3.31-3.48
2 Fe 0.0000 0.0000 0.5000  6 Br 2.63
3 Br 0.0000 0.0000 0.3399  1 Fe 2.63
4 Br 0.0000 0.5000 0.0000  2 Fe 2.63


2.
Density functional theory data (PBE) for K3Fe5Br12 after structural relaxation.

## Properties
* D(E_F): 1.609 states/eV per atom
* density: 3762 kg/m³
* uncorrected formation energy: -733 meV/atom

a = 16.8523 Å, b = 16.8523 Å, c = 16.8523 Å
α = 90.00°, β = 90.00°, γ = 90.00°
Closest atoms and distances in Å follow each position.
Space group Ia-3d (No. 230)
Inequivalent atoms, fractional coordinates:
1 K 0.0000 0.2500 0.1250  8 Br 3.33-3.44
2 Fe 0.0000 0.0000 0.0000  6 Br 2.66
3 Fe 0.0000 0.2500 0.3750  4 Br 2.47
4 Br 0.0352 0.0498 0.6456  2 Fe 2.47-2.66


3.
Density functional theory data (PBE) for KFe2Br after structural relaxation.

## Properties
* D(E_F): 1.346 states/eV per atom
* density: 3782 kg/m³
* uncorrected formation energy: 927 meV/atom
* E above lowest polymorph: 0.723 eV per atom

a = 5.5588 Å, b = 11.7089 Å, c = 3.1127 Å
α = 90.00°, β = 90.00°, γ = 90.00°
Closest atoms and distances in Å follow each position.
Space group Cmmm (No. 65)
Inequivalent atoms, fractional coordinates:
1 K 0.0000 0.0000 0.0000  2 Br 2.78, 2 K 3.11
2 Fe 0.2500 0.2500 0.5000  4 Fe 2.78-3.11
3 Br 0.0000 0.5000 0.0000  2 K 2.78, 2 Br 3.11


4.
Density functional theory data (PBE) for K2FeBr after structural relaxation.

## Properties
* D(E_F): 0.502 states/eV per atom
* density: 2287 kg/m³
* uncorrected formation energy: 2 meV/atom
* E above lowest polymorph: 0.049 eV per atom

a = 4.0655 Å, b = 4.2961 Å, c = 17.7922 Å
α = 90.00°, β = 90.00°, γ = 90.00°
Closest atoms and distances in Å follow each position.
Space group Imm2 (No. 44)
Inequivalent atoms, fractional coordinates:
1 K 0.0000 0.0000 0.0000  2 Br 3.31, 4 Fe 3.57
2 K 0.0000 0.5000 0.2292  4 Br 3.30, 2 Fe 3.55
3 Fe 0.0000 0.0000 0.3881  6 K 3.55-3.57
4 Br 0.0000 0.5000 0.6467  6 K 3.30-3.31


5.
Density functional theory data (PBE) for KFe2Br after structural relaxation.

## Properties
* D(E_F): 0.633 states/eV per atom
* density: 4297 kg/m³
* uncorrected formation energy: 236 meV/atom
* E above lowest polymorph: 0.032 eV per atom

a = 3.4338 Å, b = 3.4338 Å, c = 7.5608 Å
α = 90.00°, β = 90.00°, γ = 90.00°
Closest atoms and distances in Å follow each position.
Space group P4mm (No. 99)
Inequivalent atoms, fractional coordinates:
1 K 0.0000 0.0000 0.0000  4 Br 3.22, 1 Fe 3.37, 4 K 3.43
2 Fe 0.0000 0.0000 0.5547  4 Fe 2.51
3 Fe 0.5000 0.5000 0.6365  4 Fe 2.51, 1 Br 2.69
4 Br 0.5000 0.5000 0.2801  1 Fe 2.69


6.
Density functional theory data (PBE) for KFeBr4 after structural relaxation.

## Properties
* D(E_F): 2.700 states/eV per atom
* density: 3463 kg/m³
* uncorrected formation energy: 380 meV/atom
* E above lowest polymorph: 1.325 eV per atom

a = 9.2645 Å, b = 9.2645 Å, c = 9.2645 Å
α = 90.00°, β = 90.00°, γ = 90.00°
Closest atoms and distances in Å follow each position.
Space group F-43m (No. 216)
Inequivalent atoms, fractional coordinates:
1 K 0.0000 0.0000 0.0000  12 Br 3.84, 4 Fe 4.01
2 Fe 0.2500 0.2500 0.2500  12 Br 3.84, 4 K 4.01
3 Br 0.1245 0.1245 0.6245  6 Br 3.26-3.29